A plane-wave DFT calculation with PBE was carried out for crystalline BeTcSb2 at its relaxed geometry.

Lattice parameters (Å, degrees): 4.7138 4.7138 4.7138 60.00 60.00 60.00
Closest atoms and distances in Å follow each position.
Atoms (fractional coordinates):
Sb (0.0000, 0.0000, 0.0000)  4 Tc 2.89, 4 Sb 2.89
Sb (0.2500, 0.2500, 0.2500)  4 Sb 2.89, 4 Be 2.89
Tc (0.7500, 0.7500, 0.7500)  4 Be 2.89, 4 Sb 2.89
Be (0.5000, 0.5000, 0.5000)  4 Sb 2.89, 4 Tc 2.89

## Properties
- uncorrected energy (eV per atom) = -4.77
- space group = F-43m (216)